Entry 1:
Below is a relaxed Fe2TcRh crystal, with properties calculated at the GGA-PBE level.

Properties
Its magnetic moment is 5.8 μB per cell. The energy is -8.560 eV/atom. For the formation enthalpy at 0 K, the calculation gives 0.1003 eV per atom. The calculation puts the relative energy among the computed polymorphs at 83 meV per atom.

a b c (Å): 4.2116 4.2116 4.2116
angles (deg): 60.00 60.00 60.00
Closest atoms and distances in Å follow each position.
Fractional coordinates of all 4 atoms:
Fe1 0.2500 0.2500 0.2500  4 Tc 2.58, 4 Rh 2.58
Fe2 0.7500 0.7500 0.7500  4 Tc 2.58, 4 Rh 2.58
Tc1 0.0000 0.0000 0.0000  8 Fe 2.58
Rh1 0.5000 0.5000 0.5000  8 Fe 2.58

***

Entry 2:
Below is a relaxed RbPtSCl2 crystal, with properties calculated at the GGA-PBE level.

Properties
Its magnetic moment is 3.1 μB per cell. The energy is -1.937 eV/atom. As for the formation energy without anion corrections: 1.0288 eV per atom. The calculation puts the relative energy among the computed polymorphs at 1718 meV per atom.

a b c (Å): 5.9585 5.9585 5.9876
angles (deg): 90.00 90.00 90.00
Closest atoms and distances in Å follow each position.
Fractional coordinates of all 5 atoms:
Cl1 0.5000 0.0000 0.0000  2 Rb 2.98
Cl2 0.0000 0.5000 0.0000  2 Rb 2.98
Pt1 0.5000 0.5000 0.5000  4 S 4.21, 8 Cl 4.22
S1 0.0000 0.0000 0.5000  2 Rb 2.99
Rb1 0.0000 0.0000 0.0000  4 Cl 2.98, 2 S 2.99

***

Entry 3:
Below is a relaxed Cr5SnRh6 crystal, with properties calculated at the GGA-PBE level.

Properties
Its magnetic moment is 1.5 μB per cell. The energy is -8.148 eV/atom. For the formation enthalpy at 0 K, the calculation gives -0.1290 eV per atom.

a b c (Å): 3.8628 7.2042 7.2042
angles (deg): 108.85 105.55 105.55
Closest atoms and distances in Å follow each position.
Fractional coordinates of all 12 atoms:
Cr1 0.0000 0.6671 0.3329  4 Cr 2.61-2.75, 8 Rh 2.64-2.69
Cr2 0.5000 0.5000 0.5000  8 Rh 2.62-2.70, 4 Cr 2.75
Cr3 0.0000 0.3329 0.6671  4 Cr 2.61-2.75, 8 Rh 2.64-2.69
Cr4 0.5000 0.1827 0.8173  6 Rh 2.52-2.71, 2 Cr 2.61
Cr5 0.5000 0.8173 0.1827  6 Rh 2.52-2.71, 2 Cr 2.61
Rh1 0.7460 0.5765 0.9154  7 Cr 2.52-2.71, 4 Rh 2.70-2.77, 1 Sn 2.74
Rh2 0.7460 0.9154 0.5765  7 Cr 2.52-2.71, 4 Rh 2.70-2.77, 1 Sn 2.74
Rh3 0.2540 0.4235 0.0846  7 Cr 2.52-2.71, 4 Rh 2.70-2.77, 1 Sn 2.74
Rh4 0.7628 0.2628 0.2628  6 Cr 2.62-2.90, 2 Sn 2.75, 4 Rh 2.77
Rh5 0.2540 0.0846 0.4235  7 Cr 2.52-2.71, 4 Rh 2.70-2.77, 1 Sn 2.74
Rh6 0.2372 0.7372 0.7372  6 Cr 2.62-2.90, 2 Sn 2.75, 4 Rh 2.77
Sn1 0.0000 0.0000 0.0000  8 Rh 2.74-2.75, 4 Cr 2.88

***

Entry 4:
Below is a relaxed ZnTcP2 crystal, with properties calculated at the GGA-PBE level.

Properties
Its magnetic moment is 0.0 μB per cell. The energy is -5.506 eV/atom. For the formation enthalpy at 0 K, the calculation gives 0.1089 eV per atom.

a b c (Å): 7.4677 7.4677 7.4677
angles (deg): 23.46 23.46 23.46
Closest atoms and distances in Å follow each position.
Fractional coordinates of all 4 atoms:
P1 0.9923 0.9923 0.9923  3 P 2.39, 3 Zn 2.60
P2 0.2510 0.2510 0.2510  3 Tc 2.39, 3 P 2.39
Zn1 0.7470 0.7470 0.7470  3 P 2.60, 3 Tc 2.73
Tc1 0.5098 0.5098 0.5098  3 P 2.39

***

Entry 5:
Below is a relaxed K2BeNiC crystal, with properties calculated at the GGA-PBE level.

Properties
Its magnetic moment is 1.4 μB per cell. The energy is -3.323 eV/atom. For the formation enthalpy at 0 K, the calculation gives 0.8622 eV per atom.

a b c (Å): 6.0461 3.2332 6.0461
angles (deg): 90.00 90.00 90.00
Closest atoms and distances in Å follow each position.
Fractional coordinates of all 5 atoms:
K1 0.5000 0.0000 0.0000  2 C 3.02, 2 K 3.23
K2 0.0000 0.0000 0.5000  2 C 3.02, 2 K 3.23
C1 0.0000 0.0000 0.0000  2 Be 1.62
Be1 0.0000 0.5000 0.0000  2 C 1.62
Ni1 0.5000 0.5000 0.5000  2 Ni 3.23, 8 K 3.43

***

Entry 6:
Below is a relaxed MgSiBiAs2 crystal, with properties calculated at the GGA-PBE level.

Properties
Its magnetic moment is 0.0 μB per cell. The energy is -3.159 eV/atom. As for the formation energy without anion corrections: 0.8805 eV per atom.

a b c (Å): 4.8875 5.6202 4.8875
angles (deg): 90.00 90.00 90.00
Closest atoms and distances in Å follow each position.
Fractional coordinates of all 5 atoms:
Si1 0.5000 0.5000 0.5000  4 Bi 3.46, 8 As 3.72
Mg1 0.0000 0.0000 0.0000  4 As 2.44
As1 0.0000 0.0000 0.5000  2 Mg 2.44
As2 0.5000 0.0000 0.0000  2 Mg 2.44
Bi1 0.0000 0.5000 0.0000  2 Mg 2.81

***

Entry 7:
Below is a relaxed Ac3Sm crystal, with properties calculated at the GGA-PBE level.

Properties
Its magnetic moment is 1.4 μB per cell. The energy is -4.106 eV/atom. For the formation enthalpy at 0 K, the calculation gives 0.1547 eV per atom. The calculation puts the relative energy among the computed polymorphs at 128 meV per atom.

a b c (Å): 6.2234 6.2234 6.2234
angles (deg): 60.00 60.00 60.00
Closest atoms and distances in Å follow each position.
Fractional coordinates of all 4 atoms:
Sm1 0.5000 0.5000 0.5000  8 Ac 3.81
Ac1 0.7500 0.7500 0.7500  4 Ac 3.81, 4 Sm 3.81
Ac2 0.0000 0.0000 0.0000  8 Ac 3.81
Ac3 0.2500 0.2500 0.2500  4 Ac 3.81, 4 Sm 3.81

***

Entry 8:
Below is a relaxed LiCd3Pb crystal, with properties calculated at the GGA-PBE level.

Properties
Its magnetic moment is 0.0 μB per cell. The energy is -1.744 eV/atom. For the formation enthalpy at 0 K, the calculation gives -0.0709 eV per atom. The calculation puts the relative energy among the computed polymorphs at 0 meV per atom.

a b c (Å): 3.2100 7.3831 12.7832
angles (deg): 128.76 97.36 89.99
Closest atoms and distances in Å follow each position.
Fractional coordinates of all 10 atoms:
Li1 0.4327 0.7844 0.8637  1 Li 2.86, 4 Cd 2.87-2.89, 4 Pb 3.08-3.11
Li2 0.5673 0.2156 0.1363  1 Li 2.86, 4 Cd 2.87-2.89, 4 Pb 3.08-3.11
Pb1 0.0448 0.8057 0.0813  4 Li 3.08-3.11, 3 Cd 3.18-3.37, 2 Pb 3.21
Pb2 0.9552 0.1943 0.9187  4 Li 3.08-3.11, 3 Cd 3.18-3.37, 2 Pb 3.21
Cd1 0.1837 0.3683 0.3675  2 Li 2.87-2.88, 8 Cd 3.04-3.21
Cd2 0.8731 0.3709 0.7455  2 Li 2.89, 6 Cd 3.04-3.21, 1 Pb 3.18
Cd3 0.7126 0.0823 0.4249  10 Cd 3.05-3.26
Cd4 0.2874 0.9177 0.5751  10 Cd 3.05-3.26
Cd5 0.8163 0.6317 0.6325  2 Li 2.87-2.88, 8 Cd 3.04-3.21
Cd6 0.1269 0.6291 0.2545  2 Li 2.89, 6 Cd 3.04-3.21, 1 Pb 3.18

***

Entry 9:
Below is a relaxed ZnSiPd5 crystal, with properties calculated at the GGA-PBE level.

Properties
Its magnetic moment is 0.0 μB per cell. The energy is -5.157 eV/atom. As for the formation energy without anion corrections: -0.4911 eV per atom. The calculation puts the relative energy among the computed polymorphs at 0 meV per atom.

a b c (Å): 3.9819 3.9819 6.7585
angles (deg): 90.00 90.00 90.00
Closest atoms and distances in Å follow each position.
Fractional coordinates of all 7 atoms:
Pd1 0.0000 0.5000 0.2110  2 Si 2.45
Pd2 0.0000 0.5000 0.7890  2 Si 2.45
Pd3 0.5000 0.5000 0.5000  8 Pd 2.79, 4 Zn 2.82
Pd4 0.5000 0.0000 0.2110  2 Si 2.45
Pd5 0.5000 0.0000 0.7890  2 Si 2.45
Zn1 0.0000 0.0000 0.5000  12 Pd 2.79-2.82
Si1 0.5000 0.5000 0.0000  8 Pd 2.45

***

Entry 10:
Below is a relaxed AcNd2Y crystal, with properties calculated at the GGA-PBE level.

Properties
Its magnetic moment is 0.0 μB per cell. The energy is -4.918 eV/atom. For the formation enthalpy at 0 K, the calculation gives 0.1088 eV per atom. The calculation puts the relative energy among the computed polymorphs at 81 meV per atom.

a b c (Å): 6.1518 6.1503 5.8353
angles (deg): 58.20 58.21 90.00
Closest atoms and distances in Å follow each position.
Fractional coordinates of all 4 atoms:
Y1 0.4998 0.5000 0.0000  6 Nd 3.64-3.89, 4 Ac 3.64
Nd1 0.7503 0.2502 0.4997  4 Y 3.64, 4 Nd 3.64, 2 Ac 3.89
Nd2 0.0002 0.0000 0.0001  4 Ac 3.64, 4 Nd 3.64, 2 Y 3.89
Ac1 0.2497 0.7499 0.5002  6 Nd 3.64-3.89, 4 Y 3.64

***

Entry 11:
Below is a relaxed ZrCu2Pb crystal, with properties calculated at the GGA-PBE level.

Properties
Its magnetic moment is 0.0 μB per cell. The energy is -4.860 eV/atom. For the formation enthalpy at 0 K, the calculation gives 0.2521 eV per atom.

a b c (Å): 9.2864 9.2864 9.2864
angles (deg): 19.81 19.81 19.81
Closest atoms and distances in Å follow each position.
Fractional coordinates of all 4 atoms:
Zr1 0.7500 0.7500 0.7500  6 Cu 2.83
Cu1 0.4951 0.4951 0.4951  3 Zr 2.83, 3 Pb 3.03
Cu2 0.0049 0.0049 0.0049  3 Zr 2.83, 3 Pb 3.03
Pb1 0.2500 0.2500 0.2500  6 Cu 3.03, 6 Pb 3.20